First-principles (GGA-PBE) data for TlFeNi2 after structural relaxation, as listed in Alexandria via LeMat-Bulk.

The structure in POSCAR format:
```
TlFeNi2
1.0
0.000 2.848 3.496
2.815 0.000 3.496
2.815 2.848 0.000
Tl Fe Ni
1 1 2
Direct
0.000 0.000 0.000
0.500 0.500 0.500
0.250 0.250 0.250
0.750 0.750 0.750
```

Summary:
- Formation enthalpy at 0 K: 0.2711 eV/atom
- DOS at the Fermi energy: 4.43 states/eV/cell
- Symmetry: Fmmm (69)
- DFT total energy: -21.3 eV per cell
- Excess energy over the best structure of this formula in the dataset: 50 meV per atom

First-principles (GGA-PBE) data for Tl2FeNi after structural relaxation, as listed in Alexandria via LeMat-Bulk.

The structure in POSCAR format:
```
Tl2FeNi
1.0
0.000 3.363 3.363
3.363 0.000 3.363
3.363 3.363 0.000
Tl Fe Ni
2 1 1
Direct
0.000 0.000 0.000
0.250 0.250 0.250
0.750 0.750 0.750
0.500 0.500 0.500
```

Summary:
- Formation enthalpy at 0 K: 0.7337 eV/atom
- DOS at the Fermi energy: 4.13 states/eV/cell
- Symmetry: F-43m (216)
- DFT total energy: -16.0 eV per cell
- Excess energy over the best structure of this formula in the dataset: 377 meV per atom

First-principles (GGA-PBE) data for Tl2FeNi after structural relaxation, as listed in Alexandria via LeMat-Bulk.

The structure in POSCAR format:
```
Tl2FeNi
1.0
-1.953 1.953 4.782
1.953 -1.953 4.782
1.953 1.953 -4.782
Tl Fe Ni
2 1 1
Direct
0.000 0.000 0.000
0.750 0.250 0.500
0.250 0.750 0.500
0.500 0.500 0.000
```

Summary:
- Formation enthalpy at 0 K: 0.5918 eV/atom
- DOS at the Fermi energy: 4.24 states/eV/cell
- Symmetry: I-4m2 (119)
- DFT total energy: -16.6 eV per cell
- Excess energy over the best structure of this formula in the dataset: 235 meV per atom

First-principles (GGA-PBE) data for TlFe2Ni after structural relaxation, as listed in Alexandria via LeMat-Bulk.

The structure in POSCAR format:
```
TlFe2Ni
1.0
1.440 0.832 8.476
-1.440 0.832 8.476
0.000 -1.663 8.476
Tl Fe Ni
1 2 1
Direct
0.000 0.000 0.000
0.240 0.240 0.240
0.760 0.760 0.760
0.500 0.500 0.500
```

Summary:
- Formation enthalpy at 0 K: 0.6166 eV/atom
- DOS at the Fermi energy: 5.24 states/eV/cell
- Symmetry: R-3m (166)
- DFT total energy: -22.6 eV per cell
- Excess energy over the best structure of this formula in the dataset: 300 meV per atom

First-principles (GGA-PBE) data for TlFe2Ni after structural relaxation, as listed in Alexandria via LeMat-Bulk.

The structure in POSCAR format:
```
TlFe2Ni
1.0
2.871 0.000 0.000
0.000 2.871 0.000
0.000 0.000 7.231
Tl Fe Ni
1 2 1
Direct
0.000 0.000 0.000
0.500 0.500 0.299
0.500 0.500 0.701
0.000 0.000 0.500
```

Summary:
- Formation enthalpy at 0 K: 0.4275 eV/atom
- DOS at the Fermi energy: 4.02 states/eV/cell
- Symmetry: P4/mmm (123)
- DFT total energy: -23.4 eV per cell
- Excess energy over the best structure of this formula in the dataset: 111 meV per atom

First-principles (GGA-PBE) data for Tl3FeNi after structural relaxation, as listed in Alexandria via LeMat-Bulk.

The structure in POSCAR format:
```
Tl3FeNi
1.0
5.054 0.000 0.000
0.000 5.054 0.000
0.000 0.000 5.054
Tl Fe Ni
3 1 1
Direct
0.000 0.000 0.500
0.000 0.500 0.000
0.500 0.000 0.000
0.500 0.500 0.500
0.000 0.000 0.000
```

Summary:
- Formation enthalpy at 0 K: 0.7178 eV/atom
- DOS at the Fermi energy: 7.34 states/eV/cell
- Symmetry: Pm-3m (221)
- DFT total energy: -17.8 eV per cell
- Excess energy over the best structure of this formula in the dataset: 0 meV per atom

First-principles (GGA-PBE) data for TlFeNi2 after structural relaxation, as listed in Alexandria via LeMat-Bulk.

The structure in POSCAR format:
```
TlFeNi2
1.0
-1.913 1.913 8.591
1.913 -1.913 8.591
1.913 1.913 -8.591
Tl Fe Ni
2 2 4
Direct
0.000 0.000 0.000
0.750 0.250 0.500
0.250 0.750 0.500
0.500 0.500 0.000
0.168 0.625 0.043
0.375 0.418 0.543
0.582 0.125 0.957
0.875 0.832 0.457
```

Summary:
- Formation enthalpy at 0 K: 0.6140 eV/atom
- DOS at the Fermi energy: 7.05 states/eV/cell
- Symmetry: I-42d (122)
- DFT total energy: -39.9 eV per cell
- Excess energy over the best structure of this formula in the dataset: 393 meV per atom

First-principles (GGA-PBE) data for TlFeNi2 after structural relaxation, as listed in Alexandria via LeMat-Bulk.

The structure in POSCAR format:
```
TlFeNi2
1.0
0.000 3.035 3.035
3.035 0.000 3.035
3.035 3.035 0.000
Tl Fe Ni
1 1 2
Direct
0.000 0.000 0.000
0.250 0.250 0.250
0.500 0.500 0.500
0.750 0.750 0.750
```

Summary:
- Formation enthalpy at 0 K: 0.3504 eV/atom
- DOS at the Fermi energy: 2.74 states/eV/cell
- Symmetry: F-43m (216)
- DFT total energy: -21.0 eV per cell
- Excess energy over the best structure of this formula in the dataset: 130 meV per atom

First-principles (GGA-PBE) data for TlFeNi2 after structural relaxation, as listed in Alexandria via LeMat-Bulk.

The structure in POSCAR format:
```
TlFeNi2
1.0
4.359 -1.518 0.000
4.359 1.518 0.000
-1.121 0.000 4.343
Tl Fe Ni
1 1 2
Direct
0.000 0.000 0.000
0.235 0.235 0.673
0.499 0.499 0.503
0.757 0.757 0.258
```

Summary:
- Formation enthalpy at 0 K: 0.3246 eV/atom
- DOS at the Fermi energy: 3.41 states/eV/cell
- Symmetry: Cm (8)
- DFT total energy: -21.1 eV per cell
- Excess energy over the best structure of this formula in the dataset: 104 meV per atom

First-principles (GGA-PBE) data for Tl2FeNi after structural relaxation, as listed in Alexandria via LeMat-Bulk.

The structure in POSCAR format:
```
Tl2FeNi
1.0
3.895 0.000 0.000
0.000 3.951 0.000
-1.938 0.000 5.018
Tl Fe Ni
2 1 1
Direct
0.000 0.000 0.000
0.295 0.500 0.595
0.581 0.500 0.165
0.713 0.000 0.426
```

Summary:
- Formation enthalpy at 0 K: 0.4485 eV/atom
- DOS at the Fermi energy: 4.76 states/eV/cell
- Symmetry: Pm (6)
- DFT total energy: -17.2 eV per cell
- Excess energy over the best structure of this formula in the dataset: 92 meV per atom

First-principles (GGA-PBE) data for TlFe2Ni after structural relaxation, as listed in Alexandria via LeMat-Bulk.

The structure in POSCAR format:
```
TlFe2Ni
1.0
4.252 -1.512 0.000
4.252 1.512 0.000
-1.234 0.000 4.559
Tl Fe Ni
1 2 1
Direct
0.000 0.000 0.000
0.231 0.231 0.693
0.500 0.500 0.497
0.762 0.762 0.286
```

Summary:
- Formation enthalpy at 0 K: 0.3893 eV/atom
- DOS at the Fermi energy: 3.82 states/eV/cell
- Symmetry: Cm (8)
- DFT total energy: -23.5 eV per cell
- Excess energy over the best structure of this formula in the dataset: 73 meV per atom

First-principles (GGA-PBE) data for TlFeNi2 after structural relaxation, as listed in Alexandria via LeMat-Bulk.

The structure in POSCAR format:
```
TlFeNi2
1.0
1.496 0.863 7.825
-1.496 0.863 7.825
0.000 -1.727 7.825
Tl Fe Ni
1 1 2
Direct
0.000 0.000 0.000
0.500 0.500 0.500
0.239 0.239 0.239
0.761 0.761 0.761
```

Summary:
- Formation enthalpy at 0 K: 0.4371 eV/atom
- DOS at the Fermi energy: 2.47 states/eV/cell
- Symmetry: R-3m (166)
- DFT total energy: -20.6 eV per cell
- Excess energy over the best structure of this formula in the dataset: 216 meV per atom

First-principles (GGA-PBE) data for TlFeNi2 after structural relaxation, as listed in Alexandria via LeMat-Bulk.

The structure in POSCAR format:
```
TlFeNi2
1.0
4.089 -1.554 0.000
4.089 1.554 0.000
-1.229 0.000 4.588
Tl Fe Ni
1 1 2
Direct
0.000 0.000 0.000
0.500 0.500 0.500
0.237 0.237 0.696
0.763 0.763 0.304
```

Summary:
- Formation enthalpy at 0 K: 0.3142 eV/atom
- DOS at the Fermi energy: 2.79 states/eV/cell
- Symmetry: C2/m (12)
- DFT total energy: -21.1 eV per cell
- Excess energy over the best structure of this formula in the dataset: 93 meV per atom

First-principles (GGA-PBE) data for TlFe2Ni after structural relaxation, as listed in Alexandria via LeMat-Bulk.

The structure in POSCAR format:
```
TlFe2Ni
1.0
0.000 3.066 3.066
3.066 0.000 3.066
3.066 3.066 0.000
Tl Fe Ni
1 2 1
Direct
0.000 0.000 0.000
0.250 0.250 0.250
0.750 0.750 0.750
0.500 0.500 0.500
```

Summary:
- Formation enthalpy at 0 K: 0.5030 eV/atom
- DOS at the Fermi energy: 10.06 states/eV/cell
- Symmetry: Fm-3m (225)
- DFT total energy: -23.1 eV per cell
- Excess energy over the best structure of this formula in the dataset: 186 meV per atom

First-principles (GGA-PBE) data for TlFe2Ni after structural relaxation, as listed in Alexandria via LeMat-Bulk.

The structure in POSCAR format:
```
TlFe2Ni
1.0
2.953 0.000 0.000
0.000 3.381 0.000
-0.008 0.000 5.963
Tl Fe Ni
1 2 1
Direct
0.000 0.000 0.000
0.499 0.500 0.307
0.501 0.500 0.693
0.000 0.000 0.500
```

Summary:
- Formation enthalpy at 0 K: 0.3766 eV/atom
- DOS at the Fermi energy: 3.63 states/eV/cell
- Symmetry: P2/m (10)
- DFT total energy: -23.6 eV per cell
- Excess energy over the best structure of this formula in the dataset: 60 meV per atom

First-principles (GGA-PBE) data for TlFeNi4 after structural relaxation, as listed in Alexandria via LeMat-Bulk.

The structure in POSCAR format:
```
TlFeNi4
1.0
0.000 3.405 3.405
3.405 0.000 3.405
3.405 3.405 0.000
Tl Fe Ni
1 1 4
Direct
0.000 0.000 0.000
0.750 0.750 0.750
0.376 0.376 0.376
0.376 0.376 0.873
0.376 0.873 0.376
0.873 0.376 0.376
```

Summary:
- Formation enthalpy at 0 K: 0.2040 eV/atom
- DOS at the Fermi energy: 5.33 states/eV/cell
- Symmetry: F-43m (216)
- DFT total energy: -32.7 eV per cell

First-principles (GGA-PBE) data for TlFeNi2 after structural relaxation, as listed in Alexandria via LeMat-Bulk.

The structure in POSCAR format:
```
TlFeNi2
1.0
3.127 0.000 0.000
0.000 3.127 0.000
0.000 0.000 5.871
Tl Fe Ni
1 1 2
Direct
0.000 0.000 0.000
0.500 0.500 0.318
0.000 0.000 0.502
0.500 0.500 0.725
```

Summary:
- Formation enthalpy at 0 K: 0.3071 eV/atom
- DOS at the Fermi energy: 3.45 states/eV/cell
- Symmetry: P4mm (99)
- DFT total energy: -21.2 eV per cell
- Excess energy over the best structure of this formula in the dataset: 86 meV per atom

First-principles (GGA-PBE) data for TlFe2Ni after structural relaxation, as listed in Alexandria via LeMat-Bulk.

The structure in POSCAR format:
```
TlFe2Ni
1.0
3.069 0.000 0.000
0.000 3.087 0.000
0.000 0.000 6.120
Tl Fe Ni
1 2 1
Direct
0.000 0.000 0.000
0.000 0.000 0.503
0.500 0.500 0.300
0.500 0.500 0.716
```

Summary:
- Formation enthalpy at 0 K: 0.3167 eV/atom
- DOS at the Fermi energy: 5.48 states/eV/cell
- Symmetry: Pmm2 (25)
- DFT total energy: -23.8 eV per cell
- Excess energy over the best structure of this formula in the dataset: 0 meV per atom

First-principles (GGA-PBE) data for Tl2FeNi after structural relaxation, as listed in Alexandria via LeMat-Bulk.

The structure in POSCAR format:
```
Tl2FeNi
1.0
1.710 0.988 8.205
-1.710 0.988 8.205
0.000 -1.975 8.205
Tl Fe Ni
2 1 1
Direct
0.000 0.000 0.000
0.219 0.219 0.219
0.755 0.755 0.755
0.470 0.470 0.470
```

Summary:
- Formation enthalpy at 0 K: 0.4631 eV/atom
- DOS at the Fermi energy: 2.27 states/eV/cell
- Symmetry: R3m (160)
- DFT total energy: -17.1 eV per cell
- Excess energy over the best structure of this formula in the dataset: 106 meV per atom

First-principles (GGA-PBE) data for TlFeNi2W after structural relaxation, as listed in Alexandria via LeMat-Bulk.

The structure in POSCAR format:
```
TlFeNi2W
1.0
4.280 0.000 0.000
0.000 4.280 0.000
0.000 0.000 4.767
Tl Fe Ni W
1 1 2 1
Direct
0.000 0.000 0.000
0.000 0.000 0.500
0.000 0.500 0.500
0.500 0.000 0.500
0.500 0.500 0.000
```

Summary:
- Formation enthalpy at 0 K: 1.5571 eV/atom
- DOS at the Fermi energy: 5.53 states/eV/cell
- Symmetry: P4/mmm (123)
- DFT total energy: -27.6 eV per cell